A plane-wave DFT calculation with PBE-GGA was carried out for a geometry-optimized Dy2YMg6 structure.

Structure (extended XYZ):
```
9
Lattice="3.298 0.000 0.000 0.000 7.854 4.517 -0.002 0.016 9.060" Properties=species:S:1:pos:R:3 pbc="T T T"
Dy -0.001 2.623 4.525
Dy 3.297 5.246 9.051
Y 0.000 0.000 0.000
Mg 1.646 5.235 3.012
Mg 1.651 7.859 7.537
Mg 1.650 2.634 10.565
Mg 1.648 5.241 6.031
Mg 1.645 0.011 6.040
Mg 1.648 2.629 7.546
```

A plane-wave DFT calculation with PBE-GGA was carried out for a geometry-optimized Tm3Ge2RuC structure.

Structure (extended XYZ):
```
7
Lattice="-0.819 -0.128 -3.881 -2.771 -3.619 0.704 -4.073 6.577 2.672" Properties=species:S:1:pos:R:3 pbc="T T T"
Tm -1.385 -1.809 0.352
Tm -1.924 1.542 0.355
Tm -5.738 1.287 -0.860
Ge -3.487 -0.517 -1.276
Ge -4.175 3.347 0.771
Ru -0.410 -0.064 -1.941
C 0.000 0.000 0.000
```

| no. | total energy (eV/atom) |
| --- | --- |
| 1 | -2.88 |
| 2 | -6.43 |